[1]
A plane-wave DFT calculation with PBE-GGA was carried out for SmTm8Sn6 after structural relaxation.

```
SmTm8Sn6
1.0
4.471 2.582 6.444
-4.471 2.582 6.444
0.000 -5.163 6.444
Sm Tm Sn
1 8 6
Direct
0.000 0.000 0.000 Sm
0.107 0.437 0.775 Tm
0.225 0.893 0.563 Tm
0.333 0.333 0.333 Tm
0.437 0.775 0.107 Tm
0.563 0.225 0.893 Tm
0.667 0.667 0.667 Tm
0.775 0.107 0.437 Tm
0.893 0.563 0.225 Tm
0.068 0.730 0.406 Sn
0.270 0.594 0.932 Sn
0.406 0.068 0.730 Sn
0.594 0.932 0.270 Sn
0.730 0.406 0.068 Sn
0.932 0.270 0.594 Sn
```

Space-group type   No. 148
DFT formation energy   -7.55 eV per formula unit
DFT total energy   -72.06 eV for the cell shown


[2]
A plane-wave DFT calculation with PBE-GGA was carried out for Ca2Mg2Ni15 after structural relaxation.

```
Ca2Mg2Ni15
1.0
4.220 2.436 4.083
-4.220 2.436 4.083
0.000 -4.873 4.083
Ca Mg Ni
2 2 15
Direct
0.148 0.148 0.148 Ca
0.852 0.852 0.852 Ca
0.394 0.394 0.394 Mg
0.606 0.606 0.606 Mg
0.000 0.500 0.500 Ni
0.155 0.155 0.656 Ni
0.155 0.656 0.155 Ni
0.202 0.500 0.798 Ni
0.202 0.798 0.500 Ni
0.344 0.845 0.845 Ni
0.500 0.000 0.500 Ni
0.500 0.202 0.798 Ni
0.500 0.500 0.000 Ni
0.500 0.798 0.202 Ni
0.656 0.155 0.155 Ni
0.798 0.202 0.500 Ni
0.798 0.500 0.202 Ni
0.845 0.344 0.845 Ni
0.845 0.845 0.344 Ni
```

Space-group type   No. 166
DFT formation energy   -2.24 eV per formula unit
DFT total energy   -96.15 eV for the cell shown


[3]
A plane-wave DFT calculation with PBE-GGA was carried out for TmPa2ZnN5 after structural relaxation.

```
TmPa2ZnN5
1.0
1.733 -6.732 0.000
1.733 6.732 0.000
0.000 0.000 10.734
Tm Pa Zn N
2 4 2 10
Direct
0.198 0.802 0.500 Tm
0.802 0.198 0.000 Tm
0.122 0.878 0.776 Pa
0.134 0.866 0.200 Pa
0.866 0.134 0.700 Pa
0.878 0.122 0.276 Pa
0.499 0.501 0.504 Zn
0.501 0.499 0.004 Zn
0.042 0.958 0.589 N
0.297 0.703 0.845 N
0.298 0.702 0.166 N
0.354 0.646 0.571 N
0.481 0.519 0.313 N
0.519 0.481 0.813 N
0.646 0.354 0.071 N
0.702 0.298 0.666 N
0.703 0.297 0.345 N
0.958 0.042 0.089 N
```

Space-group type   No. 36
DFT total energy   -154.81 eV for the cell shown
Formation energy from raw total energies   -1.23 eV per atom


[4]
A plane-wave DFT calculation with PBE-GGA was carried out for Zr2ScHIr after structural relaxation.

```
Zr2ScHIr
1.0
4.328 0.000 0.000
0.000 4.328 0.000
0.000 0.000 4.354
Zr Sc H Ir
2 1 1 1
Direct
0.000 0.500 0.000 Zr
0.500 0.000 0.000 Zr
0.000 0.000 0.500 Sc
0.000 0.000 0.000 H
0.500 0.500 0.500 Ir
```

Space-group type   No. 123
DFT total energy   -37.49 eV for the cell shown